# 1
A relaxed Tl3Sn2Au5 crystal, computed with PBE.

Summary:
density	12.77	Mg/m³
ΔH_f (0 K)	-22	meV/atom
symmetry	C2/c (15)
Fermi-level density of states	8.05	states/eV/cell

```
Tl3Sn2Au5
1.0
-5.6261 0.9271 -1.6258
0.6332 -4.2980 -6.1074
-0.5705 -6.8949 9.5869
Sn Tl Au
4 6 10
Cartesian
-0.2459 -4.7539 -2.7712
-5.3174 -5.5119 4.6249
-2.2680 -7.3762 3.4634
-3.2954 -2.8896 -1.6097
-4.0726 -10.2620 2.1031
-1.1113 -5.5118 0.5347
-4.4521 -4.7540 1.3190
-1.6459 -3.9729 3.9951
-1.4907 -0.0038 -0.2494
-3.9175 -6.2929 -2.1414
-2.8334 -4.2337 -4.0798
-0.5517 -8.7450 1.5956
-5.0117 -1.5208 0.2581
-0.4953 -2.8148 -0.6978
-3.1494 -7.6789 0.3810
-3.9197 -1.5005 -4.2418
-2.4140 -2.5869 1.4727
-5.0681 -7.4510 2.5515
-2.7300 -6.0321 5.9335
-1.6437 -8.7653 6.0955
```

# 2
A relaxed MgNb3W crystal, computed with PBE.

Summary:
density	7.98	Mg/m³
relative energy among the computed polymorphs	0.842	eV/atom
ΔH_f (0 K)	2003	meV/atom
symmetry	Pm-3m (221)
Fermi-level density of states	5.99	states/eV/cell

```
MgNb3W
1.0
4.6612 0.0000 0.0000
0.0000 4.6612 0.0000
0.0000 0.0000 4.6612
Nb Mg W
3 1 1
Cartesian
0.0000 2.3306 0.0000
0.0000 0.0000 2.3306
2.3306 0.0000 0.0000
0.0000 0.0000 0.0000
2.3306 2.3306 2.3306
```

# 3
A relaxed BPtF2 crystal, computed with PBE.

Summary:
density	8.59	Mg/m³
relative energy among the computed polymorphs	0.746	eV/atom
formation energy (no corrections)	-0.001	eV/atom
symmetry	Fd-3m (227)
Fermi-level density of states	1.30	states/eV/cell

```
BPtF2
1.0
2.8577 -1.5321 3.9483
-1.9475 0.0210 4.7233
-1.0473 -4.4134 2.3510
F B Pt
4 2 2
Cartesian
1.4117 -1.5066 3.3520
-0.9909 -0.7300 3.7394
-0.5408 -2.9473 2.5533
-0.0171 -0.7406 1.3778
0.0000 0.0000 0.0000
-0.0343 -1.4811 2.7556
-0.1029 -4.4433 8.2669
-0.0686 -2.9622 5.5113
```

# 4
A relaxed LaDy6Se8 crystal, computed with PBE.

Summary:
density	6.32	Mg/m³
relative energy among the computed polymorphs	0.305	eV/atom
formation energy (no corrections)	-1.527	eV/atom
symmetry	R-3 (148)
Fermi-level density of states	12.65	states/eV/cell

```
LaDy6Se8
1.0
-1.5690 7.5277 -0.6670
-3.2449 -1.5940 -6.8193
-6.5843 -1.3496 3.7946
Se Dy La
8 6 1
Cartesian
-2.6799 1.0778 -0.8680
-5.5730 3.0477 -5.2812
-8.1651 -0.1461 -1.2437
-5.8252 1.5363 1.5894
-3.2330 4.7301 -2.4480
-6.4155 5.2037 -0.0027
-8.7183 3.5063 -2.8237
-4.9826 -0.6196 -3.6891
-3.7243 1.8822 -3.4019
-6.0649 4.5556 -2.9554
-7.6738 2.7018 -0.2899
-5.3332 0.0284 -0.7363
-4.1658 3.4075 -0.1447
-7.2323 1.1766 -3.5470
0.0000 0.0000 0.0000
```

# 5
A relaxed La3TbTm2S6 crystal, computed with PBE.

Summary:
density	6.70	Mg/m³
formation energy (no corrections)	-2.073	eV/atom
symmetry	C2/m (12)
Fermi-level density of states	5.76	states/eV/cell

```
La3TbTm2S6
1.0
-3.4493 -4.9924 3.2380
6.5546 1.2883 1.6383
-3.0605 5.6372 2.9936
Tm S La Tb
2 6 3 1
Cartesian
3.2196 -0.8055 2.1716
-0.1143 -2.8986 2.7047
1.5991 -1.4608 4.2648
1.7584 1.4327 1.5990
1.6705 2.6249 5.7298
-1.7135 0.5003 6.2709
-1.6256 -0.6919 2.1401
-1.5542 3.3938 3.6050
-3.3299 -1.1382 4.4710
0.0224 0.9665 3.9349
3.3748 3.0712 3.3989
0.0000 0.0000 0.0000
```

# 6
A relaxed La6Ag2Os crystal, computed with PBE.

Summary:
density	7.26	Mg/m³
relative energy among the computed polymorphs	0.007	eV/atom
ΔH_f (0 K)	-152	meV/atom
symmetry	P2_1/c (14)
Fermi-level density of states	21.06	states/eV/cell

```
La6Ag2Os
1.0
-0.8827 -5.2043 -3.7834
7.9270 -3.9471 2.8032
-4.6080 -4.2951 6.9831
La Ag Os
12 4 2
Cartesian
5.9398 -3.7354 1.9634
-1.3058 -2.1466 2.0889
3.7422 -11.2999 3.9139
6.2021 -7.7255 1.8384
2.1932 -3.6035 3.0662
-0.5837 -7.4733 5.6220
2.9570 -7.1665 4.2176
-0.5206 -6.2800 1.7852
-3.5034 -9.7111 4.0394
0.2432 -9.8430 2.9366
3.0201 -5.9732 0.3809
-3.7657 -5.7210 4.1645
-0.8728 -4.3024 4.3749
3.3092 -9.1441 1.6279
1.2654 -10.1681 5.9822
1.1710 -3.2783 0.0207
-2.7453 -4.7497 1.5998
3.9635 -1.9735 1.4016
```

# 7
A relaxed CuBP3 crystal, computed with PBE.

Summary:
density	3.13	Mg/m³
relative energy among the computed polymorphs	0.783	eV/atom
ΔH_f (0 K)	1695	meV/atom
symmetry	Pm-3m (221)
Fermi-level density of states	3.98	states/eV/cell

```
CuBP3
1.0
-2.3594 1.4294 -3.5026
-1.6675 -4.0982 -0.5492
-3.3957 1.0194 2.7034
B P Cu
1 3 1
Cartesian
-3.7113 -0.8247 -0.6742
-1.1797 0.7147 -1.7513
-1.6978 0.5097 1.3517
-0.8338 -2.0491 -0.2746
0.0000 0.0000 0.0000
```

# 8
A relaxed Tb2PrVN4 crystal, computed with PBE.

Summary:
density	7.86	Mg/m³
formation energy (no corrections)	-1.337	eV/atom
symmetry	Cmcm (63)
Fermi-level density of states	6.11	states/eV/cell

```
Tb2PrVN4
1.0
-2.3757 -0.0378 -2.4530
-1.4864 -4.5508 3.8868
-6.6034 7.5201 6.2795
Tb N Pr V
4 8 2 2
Cartesian
-2.1605 -0.8866 -0.2711
-5.5612 0.6935 5.3753
-4.9043 2.2381 2.3381
-8.3049 3.8181 7.9845
0.0000 0.0000 0.0000
-3.3017 3.7601 3.1398
-8.2242 4.3965 5.5201
-2.2413 -1.4649 2.1933
-3.8820 0.4035 3.7535
-7.1937 1.8104 6.9392
-3.2718 1.1211 0.7742
-6.5835 2.5280 3.9599
-5.0657 -1.9442 2.5588
-5.3998 4.8758 5.1546
-2.5904 0.2746 2.5045
-7.8751 2.6569 5.2089
```

# 9
A relaxed MnTcOs2 crystal, computed with PBE.

Summary:
density	15.99	Mg/m³
relative energy among the computed polymorphs	0.027	eV/atom
ΔH_f (0 K)	91	meV/atom
symmetry	Cmmm (65)
Fermi-level density of states	5.37	states/eV/cell

```
MnTcOs2
1.0
4.6540 0.0055 0.0000
-1.5465 4.3896 0.0000
0.0000 0.0000 2.7102
Tc Mn Os
1 1 2
Cartesian
2.3270 0.0027 1.3551
-0.7733 2.1948 1.3551
0.0000 0.0000 0.0000
1.5538 2.1975 0.0000
```

# 10
A relaxed TmHf2Tl crystal, computed with PBE.

Summary:
density	12.97	Mg/m³
relative energy among the computed polymorphs	0.000	eV/atom
ΔH_f (0 K)	35	meV/atom
symmetry	P4/mmm (123)
Fermi-level density of states	4.54	states/eV/cell

```
TmHf2Tl
1.0
4.5898 0.0000 0.0000
0.0000 4.5142 0.0000
0.0000 0.0000 4.5142
Tm Hf Tl
1 2 1
Cartesian
2.2949 0.0000 0.0000
0.0000 0.0000 2.2571
0.0000 2.2571 0.0000
2.2949 2.2571 2.2571
```

# 11
A relaxed Cs2Sr3PrF12 crystal, computed with PBE.

Summary:
density	3.14	Mg/m³
formation energy (no corrections)	-3.375	eV/atom
symmetry	R-3m (166)
Fermi-level density of states	28.66	states/eV/cell

```
Cs2Sr3PrF12
1.0
8.8968 0.1952 0.1385
4.5635 7.6398 0.1385
4.5635 2.6563 7.1644
F Pr Cs Sr
12 1 2 3
Cartesian
6.8944 6.8198 4.8372
14.0336 5.0447 6.8883
11.3171 9.7116 6.8883
9.3349 2.6270 4.8372
6.7067 0.7798 0.5531
11.1293 3.6715 2.6042
8.6888 7.8643 2.6042
8.6888 5.0576 6.5612
9.3349 5.4337 0.8802
14.0336 8.1687 2.4838
3.9901 5.4467 0.5531
3.9901 2.3226 4.9576
0.0000 0.0000 0.0000
7.3110 4.2556 3.0185
10.7127 6.2357 4.4229
4.4484 0.0976 0.0692
2.2817 1.3282 3.5822
2.2817 3.8199 0.0692
```

no.,DFT total energy (hartree per atom)
1,-0.1166
2,-0.2554
3,-0.1513
4,-0.2041
5,-0.2389
6,-0.1954
7,-0.1362
8,-0.3085
9,-0.3825
10,-0.2444
11,-0.1934